[1]
Crystalline BaSrSn at its relaxed geometry. Source: the Alexandria database, functional PBE.

abc: 4.2338 4.2338 7.9483
angles: 105.45 105.45 90.00
With the nearest neighbours (Å) after each atom.
Fractional coordinates of all 3 atoms:
Sn (0.9571, 0.9571, 0.9142)  4 Sr 3.47, 4 Ba 3.63
Sr (0.5758, 0.5758, 0.1515)  4 Sn 3.47, 1 Ba 3.81
Ba (0.3172, 0.3172, 0.6343)  4 Sn 3.63, 1 Sr 3.81

* SG: No. 107
* VASP energy: -8.861 eV per cell
* crystal system: tetragonal

=====

[2]
Crystalline Ba2SrSn at its relaxed geometry. Source: the Alexandria database, functional PBE.

abc: 6.2574 8.0826 8.4180
angles: 90.00 90.00 112.77
With the nearest neighbours (Å) after each atom.
Fractional coordinates of all 8 atoms:
Ba (0.6532, 0.3063, 0.4729)  3 Sn 3.51-3.66, 1 Ba 3.75
Ba (0.3468, 0.6937, 0.9729)  3 Sn 3.51-3.66, 1 Ba 3.75
Ba (0.6532, 0.3063, 0.0271)  3 Sn 3.51-3.66, 1 Ba 3.75
Sr (0.9486, 0.8972, 0.2500)  1 Sn 3.32
Sr (0.0514, 0.1028, 0.7500)  1 Sn 3.32
Sn (0.8290, 0.6579, 0.7500)  1 Sr 3.32, 6 Ba 3.51-3.66
Sn (0.1710, 0.3421, 0.2500)  1 Sr 3.32, 6 Ba 3.51-3.66
Ba (0.3468, 0.6937, 0.5271)  3 Sn 3.51-3.66, 1 Ba 3.75

* SG: No. 63
* VASP energy: -21.678 eV per cell
* crystal system: orthorhombic

=====

[3]
Crystalline Ba2Sr3Sn4 at its relaxed geometry. Source: the Alexandria database, functional PBE.

abc: 8.6924 9.2200 9.0661
angles: 90.00 90.00 106.33
With the nearest neighbours (Å) after each atom.
Fractional coordinates of all 18 atoms:
Ba (0.4234, 0.8043, 0.6749)  6 Sn 3.60-3.80
Sr (0.0000, 0.5000, 0.5000)  6 Sn 3.49-3.78
Ba (0.0766, 0.1957, 0.1749)  6 Sn 3.60-3.80
Sr (0.2504, 0.7539, 0.1780)  6 Sn 3.41-3.52
Sn (0.1265, 0.9257, 0.4709)  1 Sn 2.95
Ba (0.9234, 0.8043, 0.8251)  6 Sn 3.60-3.80
Sn (0.8828, 0.4993, 0.1166)  1 Sn 2.93
Sn (0.6172, 0.5007, 0.6166)  1 Sn 2.93
Sn (0.8735, 0.0743, 0.5291)  1 Sn 2.95
Sr (0.7496, 0.2461, 0.8220)  6 Sn 3.41-3.52
Sn (0.3735, 0.0743, 0.9709)  1 Sn 2.95
Sr (0.2496, 0.2461, 0.6780)  6 Sn 3.41-3.52
Sr (0.5000, 0.5000, 0.0000)  6 Sn 3.49-3.78
Sn (0.1172, 0.5007, 0.8834)  1 Sn 2.93
Sn (0.6265, 0.9257, 0.0291)  1 Sn 2.95
Sr (0.7504, 0.7539, 0.3220)  6 Sn 3.41-3.52
Sn (0.3828, 0.4993, 0.3834)  1 Sn 2.93
Ba (0.5766, 0.1957, 0.3251)  6 Sn 3.60-3.80

* SG: No. 14
* VASP energy: -61.566 eV per cell
* crystal system: monoclinic

=====

[4]
Crystalline BaSrSn at its relaxed geometry. Source: the Alexandria database, functional PBE.

abc: 8.9949 10.4833 10.4833
angles: 61.81 64.60 64.60
With the nearest neighbours (Å) after each atom.
Fractional coordinates of all 18 atoms:
Sn (0.7534, 0.7500, 0.2500)  6 Sr 3.54, 3 Ba 3.76
Sn (0.4201, 0.8333, 0.8334)  3 Sr 3.40
Ba (0.7529, 0.9591, 0.4591)  5 Sn 3.76-3.82, 2 Sr 3.98
Ba (0.1711, 0.0409, 0.5409)  5 Sn 3.76-3.82, 2 Sr 3.98
Sr (0.7533, 0.3721, 0.3718)  4 Sn 3.40-3.54
Ba (0.7536, 0.4590, 0.9590)  5 Sn 3.76-3.81, 2 Sr 3.98
Ba (0.1715, 0.5410, 0.0410)  5 Sn 3.76-3.81, 2 Sr 3.98
Sn (0.7534, 0.2500, 0.7500)  6 Sr 3.54, 3 Ba 3.76
Sr (0.7533, 0.8718, 0.8721)  4 Sn 3.40-3.54
Ba (0.3351, 0.7501, 0.2501)  5 Sn 3.76-3.81, 2 Sr 3.98
Ba (0.3353, 0.2499, 0.7499)  5 Sn 3.76-3.81, 2 Sr 3.98
Sr (0.0094, 0.5000, 0.5000)  4 Sn 3.40-3.54
Sr (0.4972, 0.6279, 0.6282)  4 Sn 3.40-3.54
Sn (0.0867, 0.6666, 0.6667)  3 Sr 3.40
Sr (0.0094, 0.0000, 0.0000)  4 Sn 3.40-3.54
Sr (0.4972, 0.1282, 0.1279)  4 Sn 3.40-3.54
Sn (0.4201, 0.3334, 0.3333)  3 Sr 3.40
Sn (0.0867, 0.1667, 0.1666)  3 Sr 3.40

* SG: No. 46
* VASP energy: -56.739 eV per cell
* crystal system: orthorhombic

=====

[5]
Crystalline BaSrSn2 at its relaxed geometry. Source: the Alexandria database, functional PBE.

abc: 5.3150 7.6172 14.7573
angles: 90.00 90.00 90.00
With the nearest neighbours (Å) after each atom.
Fractional coordinates of all 16 atoms:
Sn (0.7500, 0.5549, 0.8499)  2 Sn 2.96-3.07
Sr (0.2500, 0.2497, 0.5286)  6 Sn 3.51-3.53
Sr (0.2500, 0.7497, 0.9714)  6 Sn 3.51-3.53
Ba (0.2500, 0.2492, 0.8007)  8 Sn 3.61-3.77, 1 Sr 4.02
Sr (0.7500, 0.2503, 0.0286)  6 Sn 3.51-3.53
Ba (0.2500, 0.7492, 0.6993)  8 Sn 3.61-3.77, 1 Sr 4.02
Sr (0.7500, 0.7503, 0.4714)  6 Sn 3.51-3.53
Sn (0.2500, 0.0563, 0.1499)  2 Sn 2.96-3.07
Sn (0.2500, 0.4451, 0.1501)  2 Sn 2.96-3.07
Sn (0.2500, 0.9451, 0.3499)  2 Sn 2.96-3.07
Ba (0.7500, 0.2508, 0.3007)  8 Sn 3.61-3.77, 1 Sr 4.02
Sn (0.7500, 0.0549, 0.6501)  2 Sn 2.96-3.07
Sn (0.2500, 0.5563, 0.3501)  2 Sn 2.96-3.07
Sn (0.7500, 0.9437, 0.8501)  2 Sn 2.96-3.07
Ba (0.7500, 0.7508, 0.1993)  8 Sn 3.61-3.77, 1 Sr 4.02
Sn (0.7500, 0.4437, 0.6499)  2 Sn 2.96-3.07

* SG: No. 62
* VASP energy: -57.240 eV per cell
* crystal system: orthorhombic

=====

[6]
Crystalline BaSrSn3 at its relaxed geometry. Source: the Alexandria database, functional PBE.

abc: 5.9696 5.9696 5.9696
angles: 90.00 90.00 90.00
With the nearest neighbours (Å) after each atom.
Fractional coordinates of all 5 atoms:
Sn (0.0000, 0.0000, 0.5000)  2 Sr 2.98
Ba (0.5000, 0.5000, 0.5000)  12 Sn 4.22
Sr (0.0000, 0.0000, 0.0000)  6 Sn 2.98
Sn (0.5000, 0.0000, 0.0000)  2 Sr 2.98
Sn (0.0000, 0.5000, 0.0000)  2 Sr 2.98

* energy relative to the lowest polymorph listed for this composition: 748.8 meV per atom
* SG: No. 221
* crystal system: cubic

=====

[7]
Crystalline BaSrSn3 at its relaxed geometry. Source: the Alexandria database, functional PBE.

abc: 6.1232 6.1232 6.1232
angles: 90.00 90.00 90.00
With the nearest neighbours (Å) after each atom.
Fractional coordinates of all 5 atoms:
Sr (0.5000, 0.5000, 0.5000)  12 Sn 4.33
Sn (0.0000, 0.0000, 0.5000)  2 Ba 3.06
Ba (0.0000, 0.0000, 0.0000)  6 Sn 3.06
Sn (0.0000, 0.5000, 0.0000)  2 Ba 3.06
Sn (0.5000, 0.0000, 0.0000)  2 Ba 3.06

* energy relative to the lowest polymorph listed for this composition: 1018.4 meV per atom
* SG: No. 221
* crystal system: cubic

=====

[8]
Crystalline BaSrSn3 at its relaxed geometry. Source: the Alexandria database, functional PBE.

abc: 9.3992 9.5253 9.5253
angles: 62.25 90.00 90.00
With the nearest neighbours (Å) after each atom.
Fractional coordinates of all 20 atoms:
Sr (0.2500, 0.0000, 0.4999)  8 Sn 3.52-3.58
Sn (0.5000, 0.3180, 0.3180)  2 Sn 2.92
Sn (0.0001, 0.1576, 0.6643)  2 Sn 2.91-2.92
Ba (0.2500, 0.0000, 0.0000)  8 Sn 3.68
Sn (0.0000, 0.6820, 0.6820)  2 Sn 2.92
Sn (0.9999, 0.6643, 0.1576)  2 Sn 2.91-2.92
Ba (0.7500, 0.0000, 0.0000)  8 Sn 3.68
Sr (0.7500, 0.4999, 0.0000)  8 Sn 3.52-3.58
Sn (0.9999, 0.8424, 0.3357)  2 Sn 2.91-2.92
Sn (0.0001, 0.3357, 0.8424)  2 Sn 2.91-2.92
Sn (0.0000, 0.3180, 0.3180)  2 Sn 2.92
Sr (0.2500, 0.5001, 0.0000)  8 Sn 3.52-3.58
Sn (0.5000, 0.6820, 0.6820)  2 Sn 2.92
Sn (0.4999, 0.3357, 0.8424)  2 Sn 2.91-2.92
Sn (0.4999, 0.1576, 0.6643)  2 Sn 2.91-2.92
Sr (0.7500, 0.0000, 0.5001)  8 Sn 3.52-3.58
Ba (0.2500, 0.5000, 0.5000)  12 Sn 3.72-3.79
Sn (0.5001, 0.8424, 0.3357)  2 Sn 2.91-2.92
Sn (0.5001, 0.6643, 0.1576)  2 Sn 2.91-2.92
Ba (0.7500, 0.5000, 0.5000)  12 Sn 3.72-3.79

* energy relative to the lowest polymorph listed for this composition: 47.1 meV per atom
* SG: No. 65
* crystal system: orthorhombic

=====

[9]
Crystalline Ba2SrSnTe at its relaxed geometry. Source: the Alexandria database, functional PBE.

abc: 7.0360 5.8222 7.0360
angles: 90.00 90.00 90.00
With the nearest neighbours (Å) after each atom.
Fractional coordinates of all 5 atoms:
Ba (0.5000, 0.0000, 0.0000)  2 Sr 3.52
Ba (0.0000, 0.0000, 0.5000)  2 Sr 3.52
Sn (0.5000, 0.5000, 0.5000)  8 Ba 4.57, 4 Te 4.98
Te (0.0000, 0.5000, 0.0000)  2 Sr 2.91
Sr (0.0000, 0.0000, 0.0000)  2 Te 2.91

* SG: No. 123
* VASP energy: -11.785 eV per cell
* crystal system: tetragonal

=====

[10]
Crystalline BaSr2Tl2Sn2 at its relaxed geometry. Source: the Alexandria database, functional PBE.

abc: 5.5018 5.5018 10.3762
angles: 74.63 74.63 60.00
With the nearest neighbours (Å) after each atom.
Fractional coordinates of all 7 atoms:
Tl (0.5730, 0.5730, 0.2809)  3 Sn 3.21, 3 Sr 3.38
Ba (0.0000, 0.0000, 0.0000)  6 Sn 3.92, 2 Sr 3.93, 6 Tl 4.22
Tl (0.4270, 0.4270, 0.7191)  3 Sn 3.21, 3 Sr 3.38
Sr (0.1325, 0.1325, 0.6026)  3 Tl 3.38, 4 Sn 3.57-3.65, 3 Sr 3.77
Sr (0.8675, 0.8675, 0.3974)  3 Tl 3.38, 4 Sn 3.57-3.65, 3 Sr 3.77
Sn (0.2557, 0.2557, 0.2330)  3 Tl 3.21, 3 Sr 3.57
Sn (0.7443, 0.7443, 0.7670)  3 Tl 3.21, 3 Sr 3.57

* SG: No. 166
* VASP energy: -20.616 eV per cell
* crystal system: trigonal

=====

[11]
Crystalline BaSr2Zn2Sn2 at its relaxed geometry. Source: the Alexandria database, functional PBE.

abc: 4.9497 4.9497 10.7895
angles: 76.74 76.74 60.00
With the nearest neighbours (Å) after each atom.
Fractional coordinates of all 7 atoms:
Sr (0.8667, 0.8667, 0.3999)  3 Zn 3.18, 3 Sn 3.37, 3 Sr 3.54
Sr (0.1333, 0.1333, 0.6001)  3 Zn 3.18, 3 Sn 3.37, 3 Sr 3.54
Ba (0.0000, 0.0000, 0.0000)  6 Sn 3.71, 6 Zn 3.97
Sn (0.2573, 0.2573, 0.2280)  3 Zn 2.88
Zn (0.5784, 0.5784, 0.2648)  3 Sn 2.88, 3 Sr 3.18
Zn (0.4216, 0.4216, 0.7352)  3 Sn 2.88, 3 Sr 3.18
Sn (0.7427, 0.7427, 0.7720)  3 Zn 2.88

* SG: No. 166
* VASP energy: -18.651 eV per cell
* crystal system: trigonal

=====

[12]
Crystalline BaTa2Sn2 at its relaxed geometry. Source: the Alexandria database, functional PBE.

abc: 4.3076 4.3076 7.6723
angles: 73.70 73.70 90.00
With the nearest neighbours (Å) after each atom.
Fractional coordinates of all 5 atoms:
Sn (0.6147, 0.6147, 0.7706)  4 Ta 2.88
Ta (0.2500, 0.7500, 0.5000)  4 Sn 2.88, 4 Ta 3.05
Ta (0.7500, 0.2500, 0.5000)  4 Sn 2.88, 4 Ta 3.05
Ba (0.0000, 0.0000, 0.0000)  8 Sn 3.45
Sn (0.3853, 0.3853, 0.2294)  4 Ta 2.88

* energy relative to the lowest polymorph listed for this composition: 0.0 meV per atom
* SG: No. 139
* crystal system: tetragonal